No. 1
Computed, not measured: a geometry-optimized Be2HgAs structure at the GGA-PBEsol level of DFT.

a b c (Å): 5.5379 5.5379 5.5379
angles (deg): 143.32 143.32 52.84
Positions (direct):
Be 0.0000 0.0000 0.0000
Be 0.7500 0.2500 0.5000
Hg 0.5000 0.5000 0.0000
As 0.2500 0.7500 0.5000

Results
Calculated total energy (eV per atom): -2.916
Crystal system: tetragonal
Total magnetic moment (Bohr magnetons per cell): 0.00
D(E_F) (states/eV per atom): 0.3893
Formation energy (eV/atom): 0.50

No. 2
Computed, not measured: a geometry-optimized POsAuO2 structure at the GGA-PBEsol level of DFT.

a b c (Å): 3.6686 3.6686 6.1279
angles (deg): 90.00 90.00 90.00
Positions (direct):
P 0.0000 0.0000 0.0000
Os 0.5000 0.5000 0.0000
Au 0.0000 0.0000 0.5000
O 0.0000 0.5000 0.5000
O 0.5000 0.0000 0.5000

Results
Calculated total energy (eV per atom): -5.216
Crystal system: tetragonal
Total magnetic moment (Bohr magnetons per cell): 2.54
D(E_F) (states/eV per atom): 1.1963

No. 3
Computed, not measured: a geometry-optimized SiAgAs2 structure at the GGA-PBEsol level of DFT.

a b c (Å): 4.6311 4.6311 4.6311
angles (deg): 60.00 60.00 60.00
Positions (direct):
Si 0.0000 0.0000 0.0000
Ag 0.2500 0.2500 0.2500
As 0.5000 0.5000 0.5000
As 0.7500 0.7500 0.7500

Results
Calculated total energy (eV per atom): -4.381
Crystal system: cubic
Total magnetic moment (Bohr magnetons per cell): 0.00
D(E_F) (states/eV per atom): 0.5729

No. 4
Computed, not measured: a geometry-optimized SiBr2Cl structure at the GGA-PBEsol level of DFT.

a b c (Å): 3.5238 6.8485 6.8485
angles (deg): 42.60 90.00 90.00
Positions (direct):
Si 0.0000 0.0000 0.0000
Br 0.0000 0.4934 0.4934
Br 0.5000 0.1414 0.1414
Cl 0.5000 0.8723 0.8723

Results
Distance to the lowest polymorph of the same formula (kJ per mole of atoms): 0.0
Calculated total energy (eV per atom): -3.369
Crystal system: orthorhombic
Total magnetic moment (Bohr magnetons per cell): 0.00
D(E_F) (states/eV per atom): 0.3612

No. 5
Computed, not measured: a geometry-optimized KLiHg2 structure at the GGA-PBEsol level of DFT.

a b c (Å): 6.5510 6.5510 6.5510
angles (deg): 43.27 43.27 43.27
Positions (direct):
K 0.0000 0.0000 0.0000
Li 0.5000 0.5000 0.5000
Hg 0.1933 0.1933 0.1933
Hg 0.8067 0.8067 0.8067

Results
Distance to the lowest polymorph of the same formula (kJ per mole of atoms): 1.5
Calculated total energy (eV per atom): -1.313
Crystal system: trigonal
Total magnetic moment (Bohr magnetons per cell): 0.00
D(E_F) (states/eV per atom): 0.5465
Formation energy (eV/atom): -0.26

No. 6
Computed, not measured: a geometry-optimized CrTcSb2 structure at the GGA-PBEsol level of DFT.

a b c (Å): 4.5403 4.5403 4.5403
angles (deg): 60.00 60.00 60.00
Positions (direct):
Cr 0.0000 0.0000 0.0000
Tc 0.5000 0.5000 0.5000
Sb 0.2500 0.2500 0.2500
Sb 0.7500 0.7500 0.7500

Results
Distance to the lowest polymorph of the same formula (kJ per mole of atoms): 0.0
Calculated total energy (eV per atom): -7.375
Crystal system: cubic
Total magnetic moment (Bohr magnetons per cell): 1.19
D(E_F) (states/eV per atom): 1.2968

No. 7
Computed, not measured: a geometry-optimized ZrCdOs2 structure at the GGA-PBEsol level of DFT.

a b c (Å): 5.3300 5.3300 5.3300
angles (deg): 145.84 127.23 64.37
Positions (direct):
Zr 0.0000 0.0000 0.0000
Cd 0.5000 0.5000 0.0000
Os 0.2402 0.7402 0.5000
Os 0.7598 0.2598 0.5000

Results
Calculated total energy (eV per atom): -8.384
Crystal system: orthorhombic
Total magnetic moment (Bohr magnetons per cell): 0.00
D(E_F) (states/eV per atom): 0.7368
Formation energy (eV/atom): 0.30

No. 8
Computed, not measured: a geometry-optimized RhCIO2 structure at the GGA-PBEsol level of DFT.

a b c (Å): 3.6160 3.6160 7.7279
angles (deg): 90.00 90.00 90.00
Positions (direct):
Rh 0.0000 0.0000 0.0000
C 0.5000 0.5000 0.5000
I 0.0000 0.0000 0.5000
O 0.0000 0.5000 0.0000
O 0.5000 0.0000 0.0000

Results
Calculated total energy (eV per atom): -5.147
Crystal system: tetragonal
Total magnetic moment (Bohr magnetons per cell): 0.89
D(E_F) (states/eV per atom): 0.4557

Q: Among the records above, which one has the highest total magnetic moment?
A: POsAuO2